(1)
The following is a GGA-PBE calculation of crystalline Tl2AsPb2 at its relaxed geometry, from Alexandria via LeMat-Bulk.

a b c (Å): 7.7001 7.7001 5.3907
angles (deg): 90.00 90.00 90.00
Atoms (fractional coordinates):
Tl (0.6663, 0.8337, 0.5000)
Tl (0.1663, 0.6663, 0.5000)
Tl (0.8337, 0.3337, 0.5000)
Tl (0.3337, 0.1663, 0.5000)
Pb (0.6489, 0.1489, 0.0000)
Pb (0.1489, 0.3511, 0.0000)
Pb (0.3511, 0.8511, 0.0000)
Pb (0.8511, 0.6489, 0.0000)
As (0.0000, 0.0000, 0.0000)
As (0.5000, 0.5000, 0.0000)

## Properties
- Formation enthalpy at 0 K: 0.1079 eV per atom
- Polymorph energy (0 for the lowest one): 0.000 eV per atom
- Symmetry: P4/mbm (127)

---

(2)
The following is a GGA-PBE calculation of crystalline MgZr2Si at its relaxed geometry, from Alexandria via LeMat-Bulk.

a b c (Å): 5.4209 5.4209 5.4176
angles (deg): 76.42 76.42 32.48
Atoms (fractional coordinates):
Zr (0.0249, 0.0249, 0.9772)
Zr (0.4751, 0.4751, 0.5228)
Si (0.7500, 0.7500, 0.7500)
Mg (0.2500, 0.2500, 0.2500)

## Properties
- Symmetry: C2/m (12)
- Formation energy without anion corrections: -0.101 eV/atom